1.
A plane-wave DFT calculation with PBE was carried out for crystalline MgOsRu2 at its relaxed geometry.

Calculated values
Electronic total energy ... -7.63 eV per atom
DFT formation energy ... 0.22 eV/atom
SG ... No. 6

Cell: 4.0091 2.7751 5.9489 Å, 61.82 90.00 90.00°
Element x y z (fractional)
1 Mg 0.0000 0.5095 0.4907
2 Os 0.5000 0.7417 0.7576
3 Ru 0.0000 0.0124 0.9878
4 Ru 0.5000 0.2364 0.2639



2.
A plane-wave DFT calculation with PBE was carried out for crystalline Mg2Sc5Os2Ru at its relaxed geometry.

Calculated values
Electronic total energy ... -6.88 eV per atom
DFT formation energy ... -0.23 eV/atom
SG ... No. 127

Cell: 3.3099 11.0777 11.0777 Å, 90.00 90.00 90.00°
Element x y z (fractional)
1 Mg 0.0000 0.6825 0.1825
2 Mg 0.0000 0.3175 0.8175
3 Mg 0.0000 0.1825 0.3175
4 Mg 0.0000 0.8175 0.6825
5 Sc 0.5000 0.1944 0.0594
6 Sc 0.5000 0.8056 0.9406
7 Sc 0.5000 0.0594 0.8056
8 Sc 0.5000 0.6944 0.4406
9 Sc 0.5000 0.9406 0.1944
10 Sc 0.5000 0.3056 0.5594
11 Sc 0.5000 0.5594 0.6944
12 Sc 0.5000 0.4406 0.3056
13 Sc 0.5000 0.5000 0.0000
14 Sc 0.5000 0.0000 0.5000
15 Os 0.0000 0.1346 0.6346
16 Os 0.0000 0.8654 0.3654
17 Os 0.0000 0.6346 0.8654
18 Os 0.0000 0.3654 0.1346
19 Ru 0.0000 0.0000 0.0000
20 Ru 0.0000 0.5000 0.5000



3.
A plane-wave DFT calculation with PBE was carried out for crystalline Mg2Sc5OsRu2 at its relaxed geometry.

Calculated values
Electronic total energy ... -6.74 eV per atom
DFT formation energy ... -0.28 eV/atom
SG ... No. 127

Cell: 3.2844 11.0751 11.0751 Å, 90.00 90.00 90.00°
Element x y z (fractional)
1 Mg 0.0000 0.6833 0.1833
2 Mg 0.0000 0.3167 0.8167
3 Mg 0.0000 0.1833 0.3167
4 Mg 0.0000 0.8167 0.6833
5 Sc 0.5000 0.1945 0.0582
6 Sc 0.5000 0.8055 0.9418
7 Sc 0.5000 0.0582 0.8055
8 Sc 0.5000 0.6945 0.4418
9 Sc 0.5000 0.9418 0.1945
10 Sc 0.5000 0.3055 0.5582
11 Sc 0.5000 0.5582 0.6945
12 Sc 0.5000 0.4418 0.3055
13 Sc 0.5000 0.5000 0.0000
14 Sc 0.5000 0.0000 0.5000
15 Os 0.0000 0.0000 0.0000
16 Os 0.0000 0.5000 0.5000
17 Ru 0.0000 0.1329 0.6329
18 Ru 0.0000 0.8671 0.3671
19 Ru 0.0000 0.6329 0.8671
20 Ru 0.0000 0.3671 0.1329



4.
A plane-wave DFT calculation with PBE was carried out for crystalline MgSiOsRu at its relaxed geometry.

Calculated values
Electronic total energy ... -7.06 eV per atom
Energy relative to the elements, uncorrected ... -183 meV/atom
SG ... No. 216

Cell: 4.2516 4.2516 4.2516 Å, 60.00 60.00 60.00°
Element x y z (fractional)
1 Ru 0.5000 0.5000 0.5000
2 Si 0.2500 0.2500 0.2500
3 Os 0.0000 0.0000 0.0000
4 Mg 0.7500 0.7500 0.7500